# 1
! MgScPb2, relaxed, DFT GGA-PBE; values from VASP
! Energy, eV per cell: -16.21
! Energy relative to the elements, eV per formula unit: -0.87
! Space-group type: Pmmm (47)
&SYSTEM
  ibrav = 0, nat = 4, ntyp = 3
/
ATOMIC_SPECIES
Mg 24.30 Mg.upf
Sc 44.96 Sc.upf
Pb 207.20 Pb.upf
CELL_PARAMETERS angstrom
4.2125 0.0000 0.0000
0.0000 4.8648 0.0000
0.0000 0.0000 4.8772
ATOMIC_POSITIONS crystal
Mg 0.0000 0.0000 0.0000
Sc 0.0000 0.5000 0.5000
Pb 0.5000 0.0000 0.5000
Pb 0.5000 0.5000 0.0000

=====

# 2
! Mg4ScPb5, relaxed, DFT GGA-PBE; values from VASP
! Energy, eV per cell: -32.11
! Energy relative to the elements, eV per formula unit: -0.86
! Space-group type: P4/mmm (123)
&SYSTEM
  ibrav = 0, nat = 10, ntyp = 3
/
ATOMIC_SPECIES
Mg 24.30 Mg.upf
Sc 44.96 Sc.upf
Pb 207.20 Pb.upf
CELL_PARAMETERS angstrom
3.7838 0.0000 0.0000
0.0000 3.7838 0.0000
0.0000 0.0000 18.0739
ATOMIC_POSITIONS crystal
Mg 0.0000 0.0000 0.1014
Mg 0.0000 0.0000 0.3039
Mg 0.0000 0.0000 0.6961
Mg 0.0000 0.0000 0.8986
Sc 0.0000 0.0000 0.5000
Pb 0.5000 0.5000 0.0000
Pb 0.5000 0.5000 0.2029
Pb 0.5000 0.5000 0.4012
Pb 0.5000 0.5000 0.5988
Pb 0.5000 0.5000 0.7971

=====

# 3
! MgScPb, relaxed, DFT GGA-PBE; values from VASP
! Energy, eV per cell: -11.43
! Energy relative to the elements, eV per formula unit: 0.20
! Space-group type: F-43m (216)
&SYSTEM
  ibrav = 0, nat = 3, ntyp = 3
/
ATOMIC_SPECIES
Mg 24.30 Mg.upf
Sc 44.96 Sc.upf
Pb 207.20 Pb.upf
CELL_PARAMETERS angstrom
0.0000 3.4748 3.4748
3.4748 0.0000 3.4748
3.4748 3.4748 0.0000
ATOMIC_POSITIONS crystal
Mg 0.0000 0.0000 0.0000
Sc 0.7500 0.7500 0.7500
Pb 0.5000 0.5000 0.5000

=====

# 4
! MgSc4Pb, relaxed, DFT GGA-PBE; values from VASP
! Energy, eV per cell: -29.78
! Energy relative to the elements, eV per formula unit: 0.85
! Space-group type: F-43m (216)
&SYSTEM
  ibrav = 0, nat = 6, ntyp = 3
/
ATOMIC_SPECIES
Mg 24.30 Mg.upf
Sc 44.96 Sc.upf
Pb 207.20 Pb.upf
CELL_PARAMETERS angstrom
0.0000 4.2289 4.2289
4.2289 0.0000 4.2289
4.2289 4.2289 0.0000
ATOMIC_POSITIONS crystal
Mg 0.0000 0.0000 0.0000
Sc 0.3748 0.3748 0.3748
Sc 0.3748 0.3748 0.8757
Sc 0.3748 0.8757 0.3748
Sc 0.8757 0.3748 0.3748
Pb 0.7500 0.7500 0.7500